Run w
Compound: Cd2TeAs
Source: Alexandria
Functional: PBEsol
Structure: optimized geometry

abc: 5.0505 5.0505 5.0505
angles: 60.00 60.00 60.00
Fractional positions:
As: 0.5000 0.5000 0.5000
Te: 0.7500 0.7500 0.7500
Cd: 0.0000 0.0000 0.0000
Cd: 0.2500 0.2500 0.2500

Calculated values
- Calculated density: 7.79 g/cm³
- Symmetry: No. 216

Run x
Compound: Cd2TeAs
Source: Alexandria
Functional: PBEsol
Structure: optimized geometry

abc: 3.0485 3.0485 9.9249
angles: 90.00 90.00 90.00
Fractional positions:
As: 0.5000 0.5000 0.7893
Cd: 0.0000 0.0000 0.9948
Te: 0.0000 0.0000 0.4941
Cd: 0.5000 0.5000 0.2218

Calculated values
- Calculated density: 7.69 g/cm³
- Symmetry: No. 99

Run y
Compound: Cd2TeAs
Source: Alexandria
Functional: PBEsol
Structure: optimized geometry

abc: 2.9784 3.9839 7.9110
angles: 90.00 90.00 90.00
Fractional positions:
Te: 0.5000 0.5000 0.5000
As: 0.0000 0.5000 0.0000
Cd: 0.4961 0.0000 0.2125
Cd: 0.5039 0.0000 0.7875

Calculated values
- Calculated density: 7.56 g/cm³
- Symmetry: No. 10

Which of them is most stable, and which least? Most stable: run y; least stable: run w.

Run w
Compound: Cd2TeAs
Source: Alexandria
Functional: PBEsol
Structure: optimized geometry

abc: 3.1122 3.1122 11.0919
angles: 81.94 81.94 60.00
Fractional positions:
Cd: 0.2571 0.2571 0.2287
Cd: 0.7429 0.7429 0.7713
Te: 0.5000 0.5000 0.5000
As: 0.0000 0.0000 0.0000

Calculated values
- Calculated density: 7.73 g/cm³
- Symmetry: No. 166

Run x
Compound: Cd2TeAs
Source: Alexandria
Functional: PBEsol
Structure: optimized geometry

abc: 3.8855 4.8478 4.8478
angles: 90.00 90.00 90.00
Fractional positions:
Cd: 0.0000 0.5000 0.0000
As: 0.5000 0.0000 0.0000
Cd: 0.0000 0.0000 0.5000
Te: 0.5000 0.5000 0.5000

Calculated values
- Calculated density: 7.77 g/cm³
- Symmetry: No. 123

Run y
Compound: Cd2TeAs
Source: Alexandria
Functional: PBEsol
Structure: optimized geometry

abc: 3.3313 3.3313 8.2597
angles: 90.00 90.00 90.00
Fractional positions:
Cd: 0.0000 0.0000 0.7190
Te: 0.5000 0.5000 0.0000
As: 0.5000 0.5000 0.5000
Cd: 0.0000 0.0000 0.2810

Calculated values
- Calculated density: 7.74 g/cm³
- Symmetry: No. 123

Which of them is most stable, and which least? Most stable: run y; least stable: run w.

Run w
Compound: Zr2CdAs
Source: Alexandria
Functional: PBEsol
Structure: optimized geometry

abc: 3.9739 4.8459 5.1309
angles: 117.76 112.78 90.00
Fractional positions:
Cd: 0.5000 0.0000 0.0000
As: 0.0000 0.5000 0.0000
Zr: 0.7322 0.7313 0.4644
Zr: 0.2678 0.2686 0.5356

Calculated values
- Calculated density: 7.81 g/cm³
- Symmetry: No. 12

Run x
Compound: Zr2CdAs
Source: Alexandria
Functional: PBEsol
Structure: optimized geometry

abc: 3.2179 3.2179 9.6103
angles: 80.36 80.36 60.00
Fractional positions:
As: 0.4970 0.4970 0.5090
Cd: 0.2462 0.2462 0.2614
Zr: 0.0015 0.0015 0.9956
Zr: 0.7553 0.7553 0.7340

Calculated values
- Calculated density: 7.26 g/cm³
- Symmetry: No. 160

Which of them is most stable, and which least? Most stable: run w; least stable: run x.

Run w
Compound: Co2AsCl
Source: Alexandria
Functional: PBEsol
Structure: optimized geometry

abc: 2.8810 3.0280 6.2582
angles: 90.00 90.00 90.00
Last column: magnetic moment on the atom in μB.
Fractional positions:
Cl: 0.5000 0.5000 0.5000  0.02
As: 0.5000 0.0000 0.0000  -0.01
Co: 0.0000 0.5000 0.1964  0.45
Co: 0.0000 0.5000 0.8036  0.45

Calculated values
- Calculated density: 6.94 g/cm³
- Symmetry: No. 47

Run x
Compound: Co2AsCl
Source: Alexandria
Functional: PBEsol
Structure: optimized geometry

abc: 5.1103 6.1602 5.1103
angles: 65.49 90.00 114.51
Fractional positions:
Cl: 0.5000 0.0000 0.5000
Co: 0.8750 0.2500 0.6106
As: 0.7500 0.5000 0.7500
Cl: 0.2500 0.5000 0.2500
Co: 0.6106 0.7500 0.3750
As: 0.0000 0.0000 0.0000
Co: 0.3750 0.2500 0.1394
Co: 0.1394 0.7500 0.8750

Calculated values
- Calculated density: 5.82 g/cm³
- Symmetry: No. 122

Which of them is most stable, and which least? Most stable: run w; least stable: run x.

Run w
Compound: CoAs2Cl
Source: Alexandria
Functional: PBEsol
Structure: optimized geometry

abc: 2.8675 4.2767 5.8899
angles: 111.29 104.09 90.00
Fractional positions:
As: 0.3126 0.3126 0.6253
Cl: 0.5000 0.0000 0.0000
As: 0.6874 0.6874 0.3747
Co: 0.0000 0.5000 0.0000

Calculated values
- Calculated density: 6.24 g/cm³
- Symmetry: No. 71

Run x
Compound: CoAs2Cl
Source: Alexandria
Functional: PBEsol
Structure: optimized geometry

abc: 3.5077 3.5077 6.8578
angles: 75.18 75.18 60.00
Fractional positions:
As: 0.7754 0.7754 0.6737
As: 0.2246 0.2246 0.3263
Co: 0.5000 0.5000 0.5000
Cl: 0.0000 0.0000 0.0000

Calculated values
- Calculated density: 5.81 g/cm³
- Symmetry: No. 166

Run y
Compound: CoAs2Cl
Source: Alexandria
Functional: PBEsol
Structure: optimized geometry

abc: 3.1388 3.8109 6.5840
angles: 106.82 103.79 90.00
Fractional positions:
As: 0.7669 0.2669 0.5339
Co: 0.2450 0.7450 0.4901
As: 0.9014 0.9014 0.8029
Cl: 0.5866 0.5866 0.1732

Calculated values
- Calculated density: 5.55 g/cm³
- Symmetry: No. 44

Which of them is most stable, and which least? Most stable: run x; least stable: run w.

Run w
Compound: Fe2AsCl
Source: Alexandria
Functional: PBEsol
Structure: optimized geometry

abc: 3.0281 3.1865 6.1519
angles: 90.00 90.00 90.00
Last column: magnetic moment on the atom in μB.
Fractional positions:
Fe: 0.0000 0.5001 0.6877  2.12
Fe: 0.0000 0.4999 0.3123  2.12
Cl: 0.5000 0.5000 0.0000  0.04
As: 0.5000 0.0000 0.5000  -0.07

Calculated values
- Calculated density: 6.21 g/cm³
- Symmetry: No. 47

Run x
Compound: Fe2AsCl
Source: Alexandria
Functional: PBEsol
Structure: optimized geometry

abc: 2.9946 2.9946 7.3205
angles: 78.20 78.20 60.00
Last column: magnetic moment on the atom in μB.
Fractional positions:
As: 0.5000 0.5000 0.5000  -0.10
Cl: 0.0000 0.0000 0.0000  0.11
Fe: 0.7520 0.7520 0.7441  2.38
Fe: 0.2480 0.2480 0.2559  2.38

Calculated values
- Calculated density: 6.67 g/cm³
- Symmetry: No. 166

Which of them is most stable, and which least? Most stable: run w; least stable: run x.